Compound: V5As2C
Source: the Alexandria database
Functional: PBE
Structure: optimized geometry

Distance to the lowest polymorph of the same formula in meV/atom: 152
Energy relative to the elements in eV per formula unit: -0.3

abc: 6.505 6.505 10.174
angles: 90.00 90.00 143.17
Atoms (fractional coordinates):
V 0.086 0.914 0.626
V 0.086 0.914 0.874
V 0.279 0.721 0.564
V 0.279 0.721 0.936
V 0.284 0.716 0.250
V 0.716 0.284 0.750
V 0.721 0.279 0.064
V 0.721 0.279 0.436
V 0.914 0.086 0.126
V 0.914 0.086 0.374
As 0.115 0.885 0.110
As 0.115 0.885 0.390
As 0.885 0.115 0.610
As 0.885 0.115 0.890
C 0.212 0.788 0.750
C 0.788 0.212 0.250